Record 1
CeNd4Y6: relaxed, PBE.

## Properties
* ΔE_f: 0.13 eV/atom
* symmetry: Cmcm
* final energy: -5.665 eV/atom

Unit cell a=5.6681 b=5.6681 c=26.1589 alpha=90.00 beta=90.00 gamma=118.27
Fractional coordinates of all 22 atoms:
Ce 0.1865 0.8135 0.7500
Ce 0.8135 0.1865 0.2500
Nd 0.1572 0.8428 0.0438
Nd 0.1572 0.8428 0.4562
Nd 0.4701 0.5299 0.1228
Nd 0.4701 0.5299 0.3772
Nd 0.5299 0.4701 0.6228
Nd 0.5299 0.4701 0.8772
Nd 0.8428 0.1572 0.5438
Nd 0.8428 0.1572 0.9562
Y 0.1426 0.8574 0.1826
Y 0.1426 0.8574 0.3174
Y 0.1883 0.8117 0.6029
Y 0.1883 0.8117 0.8971
Y 0.4798 0.5202 0.2500
Y 0.5000 0.5000 0.0000
Y 0.5000 0.5000 0.5000
Y 0.5202 0.4798 0.7500
Y 0.8117 0.1883 0.1029
Y 0.8117 0.1883 0.3971
Y 0.8574 0.1426 0.6826
Y 0.8574 0.1426 0.8174

***

Record 2
LiLa2Tl8: relaxed, PBE.

## Properties
* ΔE_f: -0.28 eV/atom
* symmetry: P4/mmm
* final energy: -3.070 eV/atom

Unit cell a=4.9097 b=4.9097 c=12.8587 alpha=90.00 beta=90.00 gamma=90.00
Fractional coordinates of all 11 atoms:
Li 0.0000 0.0000 0.0000
La 0.0000 0.0000 0.3100
La 0.0000 0.0000 0.6900
Tl 0.0000 0.5000 0.1253
Tl 0.0000 0.5000 0.5000
Tl 0.0000 0.5000 0.8747
Tl 0.5000 0.0000 0.1253
Tl 0.5000 0.0000 0.5000
Tl 0.5000 0.0000 0.8747
Tl 0.5000 0.5000 0.3105
Tl 0.5000 0.5000 0.6895

***

Record 3
KLa3Te4: relaxed, PBE.

## Properties
* energy relative to the elements, uncorrected: -1.538 eV per atom
* symmetry: P6_3/mmc
* final energy: -5.094 eV/atom

Unit cell a=4.6360 b=4.6360 c=31.5541 alpha=90.00 beta=90.00 gamma=120.00
Fractional coordinates of all 16 atoms:
K 0.3333 0.6667 0.2500
K 0.6667 0.3333 0.7500
La 0.0000 0.0000 0.0000
La 0.0000 0.0000 0.5000
La 0.3333 0.6667 0.6177
La 0.3333 0.6667 0.8823
La 0.6667 0.3333 0.1177
La 0.6667 0.3333 0.3823
Te 0.0000 0.0000 0.1749
Te 0.0000 0.0000 0.3251
Te 0.0000 0.0000 0.6749
Te 0.0000 0.0000 0.8251
Te 0.3333 0.6667 0.0589
Te 0.3333 0.6667 0.4411
Te 0.6667 0.3333 0.5589
Te 0.6667 0.3333 0.9411

***

Record 4
In3IrCl: relaxed, PBE.

## Properties
* energy relative to the elements, uncorrected: 0.120 eV per atom
* energy above the lowest structure with this stoichiometry: 2.79 eV/f.u.
* symmetry: Cmcm
* final energy: -3.665 eV/atom

Unit cell a=12.3998 b=12.3998 c=4.9749 alpha=90.00 beta=90.00 gamma=149.86
Fractional coordinates of all 10 atoms:
In 0.0000 0.0000 0.0000
In 0.0000 0.0000 0.5000
In 0.0698 0.4826 0.7500
In 0.4826 0.0698 0.2500
In 0.5174 0.9302 0.7500
In 0.9302 0.5174 0.2500
Ir 0.2875 0.7125 0.2500
Ir 0.7125 0.2875 0.7500
Cl 0.1127 0.8873 0.2500
Cl 0.8873 0.1127 0.7500

***

Record 5
W2SeCl2: relaxed, PBE.

## Properties
* energy relative to the elements, uncorrected: 0.765 eV per atom
* energy above the lowest structure with this stoichiometry: 0.00 eV/f.u.
* symmetry: I4/mmm
* final energy: -5.852 eV/atom

Unit cell a=6.3970 b=6.3970 c=6.3970 alpha=142.20 beta=142.20 gamma=54.53
Fractional coordinates of all 5 atoms:
W 0.0998 0.0998 0.0000
W 0.9002 0.9002 0.0000
Se 0.5000 0.5000 0.0000
Cl 0.2500 0.7500 0.5000
Cl 0.7500 0.2500 0.5000

***

Record 6
La2CuGe3: relaxed, PBE.

## Properties
* energy above the lowest structure with this stoichiometry: 0.00 eV/f.u.
* ΔE_f: -0.75 eV/atom
* symmetry: Fmmm
* final energy: -5.380 eV/atom

Unit cell a=8.5490 b=8.4806 c=6.1081 alpha=69.58 beta=68.38 gamma=42.04
Fractional coordinates of all 12 atoms:
La 0.2419 0.7581 0.2419
La 0.2500 0.2500 0.2500
La 0.7500 0.7500 0.7500
La 0.7581 0.2419 0.7581
Cu 0.3335 0.3335 0.6665
Cu 0.6665 0.6665 0.3335
Ge 0.1710 0.1710 0.8290
Ge 0.1747 0.6544 0.8253
Ge 0.3456 0.8253 0.6544
Ge 0.6544 0.1747 0.3456
Ge 0.8253 0.3456 0.1747
Ge 0.8290 0.8290 0.1710

***

| no. | mass density (kg/m3) |
| --- | --- |
| 1 | 5611 |
| 2 | 10285 |
| 3 | 5464 |
| 4 | 4948 |
| 5 | 8800 |
| 6 | 6788 |